# 1
First-principles (PBE-GGA) data for a relaxed Li2PbW crystal, as listed in Alexandria.

Calculated values
Formation energy from the elements (kJ/mol of formula units): 184
Crystal system: tetragonal

abc: 2.8552 2.8552 9.1301
angles: 90.00 90.00 90.00
Fractional coordinates of all 4 atoms:
Pb  0.5000  0.5000  0.2500
Li  0.0000  0.0000  0.5142
W  0.5000  0.5000  0.7500
Li  0.0000  0.0000  0.9858

# 2
First-principles (PBE-GGA) data for a relaxed KCaAu4 crystal, as listed in Alexandria.

Calculated values
Formation energy from the elements (kJ/mol of formula units): -241
Crystal system: cubic

abc: 5.7722 5.7722 5.7722
angles: 60.00 60.00 60.00
Fractional coordinates of all 6 atoms:
Au  0.6249  0.6249  0.6249
Au  0.1254  0.6249  0.6249
Au  0.6249  0.1254  0.6249
Au  0.6249  0.6249  0.1254
Ca  0.2500  0.2500  0.2500
K  0.0000  0.0000  0.0000

# 3
First-principles (PBE-GGA) data for a relaxed Tb3Nd5Ho crystal, as listed in Alexandria.

Calculated values
Formation energy from the elements (kJ/mol of formula units): 67
Crystal system: triclinic
Energy relative to the lowest polymorph listed for this composition (meV/atom): 0

abc: 12.2108 6.8250 12.2271
angles: 63.29 42.32 72.11
Fractional coordinates of all 18 atoms:
Tb  0.0000  0.0000  0.0000
Nd  0.3452  0.6823  0.7822
Tb  0.4476  0.2227  0.1446
Nd  0.3446  0.6748  0.2863
Nd  0.1283  0.5734  0.7362
Nd  0.7668  0.8666  0.9309
Nd  0.8717  0.4266  0.2638
Tb  0.5515  0.7786  0.3570
Nd  0.6548  0.3177  0.2178
Nd  0.2332  0.1334  0.0691
Nd  0.8792  0.4215  0.7548
Nd  0.6554  0.3252  0.7137
Ho  0.2364  0.1255  0.5683
Tb  0.5524  0.7773  0.8554
Tb  0.0000  0.0000  0.5000
Tb  0.4485  0.2214  0.6430
Nd  0.1208  0.5785  0.2452
Ho  0.7636  0.8745  0.4317

# 4
First-principles (PBE-GGA) data for a relaxed La2SmCo2 crystal, as listed in Alexandria.

Calculated values
Formation energy from the elements (kJ/mol of formula units): -31
Crystal system: monoclinic
Energy relative to the lowest polymorph listed for this composition (meV/atom): 20

abc: 3.8909 6.8361 9.8916
angles: 85.71 78.66 73.47
Fractional coordinates of all 10 atoms:
La  0.4675  0.3798  0.6853
Sm  0.7858  0.0704  0.3579
Co  0.8973  0.6775  0.5279
La  0.5325  0.6202  0.3147
Sm  0.2142  0.9296  0.6421
La  0.3419  0.2554  0.0607
Co  0.9803  0.1373  0.9021
La  0.6581  0.7446  0.9393
Co  0.0197  0.8627  0.0979
Co  0.1027  0.3225  0.4721

# 5
First-principles (PBE-GGA) data for a relaxed Dy2Ho4Mg5 crystal, as listed in Alexandria.

Calculated values
Formation energy from the elements (kJ/mol of formula units): 256
Crystal system: orthorhombic

abc: 6.1809 5.8935 11.4963
angles: 81.90 74.41 58.37
Fractional coordinates of all 11 atoms:
Dy  0.1131  0.0000  0.7737
Mg  0.7500  0.5000  0.5000
Mg  0.0000  0.5000  0.0000
Mg  0.5000  0.0000  0.0000
Mg  0.5000  0.5000  0.0000
Ho  0.7937  0.6645  0.7482
Ho  0.4581  0.3355  0.7482
Mg  0.2500  0.5000  0.5000
Ho  0.5419  0.6645  0.2518
Dy  0.8869  0.0000  0.2263
Ho  0.2063  0.3355  0.2518

# 6
First-principles (PBE-GGA) data for a relaxed LiPrNdBe crystal, as listed in Alexandria.

Calculated values
Formation energy from the elements (kJ/mol of formula units): 69
Crystal system: cubic

abc: 5.1756 5.1756 5.1756
angles: 60.00 60.00 60.00
Fractional coordinates of all 4 atoms:
Nd  0.2500  0.2500  0.2500
Be  0.5000  0.5000  0.5000
Li  0.0000  0.0000  0.0000
Pr  0.7500  0.7500  0.7500

# 7
First-principles (PBE-GGA) data for a relaxed Sr2In6Ag crystal, as listed in Alexandria.

Calculated values
Formation energy from the elements (kJ/mol of formula units): -250
Crystal system: monoclinic
Energy relative to the lowest polymorph listed for this composition (meV/atom): 33

abc: 6.7832 6.8064 6.6334
angles: 75.67 90.00 119.89
Fractional coordinates of all 9 atoms:
In  0.8771  0.7541  0.6843
In  0.1404  0.7362  0.3215
In  0.4043  0.2638  0.6785
In  0.5957  0.7362  0.3215
In  0.1229  0.2459  0.3157
Ag  0.0000  0.0000  0.0000
Sr  0.6462  0.2924  0.1631
Sr  0.3538  0.7076  0.8369
In  0.8596  0.2638  0.6785

# 8
First-principles (PBE-GGA) data for a relaxed ReTcP2O crystal, as listed in Alexandria.

Calculated values
Crystal system: tetragonal
Formation energy from raw total energies (eV/atom): 0.604
Energy relative to the lowest polymorph listed for this composition (meV/atom): 241

abc: 4.7496 4.7496 3.6116
angles: 90.00 90.00 90.00
Fractional coordinates of all 5 atoms:
Re  0.5000  0.5000  0.5000
Tc  0.0000  0.0000  0.0000
P  0.5000  0.0000  0.0000
O  0.0000  0.0000  0.5000
P  0.0000  0.5000  0.0000

# 9
First-principles (PBE-GGA) data for a relaxed CdTe2F crystal, as listed in Alexandria.

Calculated values
Crystal system: triclinic
Formation energy from raw total energies (eV/atom): -0.729
Energy relative to the lowest polymorph listed for this composition (meV/atom): 126

abc: 4.2473 5.2441 5.5072
angles: 98.92 93.23 108.77
Fractional coordinates of all 4 atoms:
Te  0.6620  0.5762  0.1156
F  0.2903  0.8669  0.6834
Te  0.4893  0.1708  0.4057
Cd  0.0988  0.4340  0.7411

# 10
First-principles (PBE-GGA) data for a relaxed Si2SeBr crystal, as listed in Alexandria.

Calculated values
Crystal system: tetragonal
Formation energy from raw total energies (eV/atom): 0.228
Energy relative to the lowest polymorph listed for this composition (meV/atom): 300

abc: 3.2686 3.2686 8.3626
angles: 90.00 90.00 90.00
Fractional coordinates of all 4 atoms:
Si  0.0000  0.0000  0.0091
Se  0.5000  0.5000  0.8603
Si  0.5000  0.5000  0.2073
Br  0.0000  0.0000  0.4233

# 11
First-principles (PBE-GGA) data for a relaxed Hg3Pt5 crystal, as listed in Alexandria.

Calculated values
Formation energy from the elements (kJ/mol of formula units): 84
Crystal system: triclinic
Energy relative to the lowest polymorph listed for this composition (meV/atom): 67

abc: 7.3310 8.2519 7.5620
angles: 96.68 91.69 138.97
Fractional coordinates of all 16 atoms:
Pt  0.7403  0.2075  0.3056
Pt  0.6729  0.0067  0.6064
Pt  0.1101  0.6082  0.6148
Pt  0.9385  0.6551  0.9149
Pt  0.1069  0.4322  0.8956
Hg  0.2804  0.4034  0.5656
Hg  0.2264  0.6916  0.2508
Pt  0.1922  0.3282  0.2027
Hg  0.5302  0.0665  0.9307
Hg  0.3488  0.2786  0.8909
Pt  0.5471  0.2761  0.5783
Pt  0.7313  0.8596  0.2814
Hg  0.7226  0.8505  0.9114
Pt  0.2090  0.0130  0.2393
Hg  0.9484  0.8252  0.5822
Pt  0.7018  0.5041  0.2361

# 12
First-principles (PBE-GGA) data for a relaxed ZrInAs crystal, as listed in Alexandria.

Calculated values
Formation energy from the elements (kJ/mol of formula units): -135
Crystal system: tetragonal
Energy relative to the lowest polymorph listed for this composition (meV/atom): 175

abc: 5.8196 5.8196 3.6200
angles: 71.88 71.88 36.24
Fractional coordinates of all 3 atoms:
Zr  0.6271  0.6271  0.3729
As  0.0447  0.0447  0.9553
In  0.3282  0.3282  0.6718

# 13
First-principles (PBE-GGA) data for a relaxed Sr2BeAg crystal, as listed in Alexandria.

Calculated values
Formation energy from the elements (kJ/mol of formula units): 20
Crystal system: orthorhombic

abc: 4.2820 4.8309 6.3312
angles: 67.55 90.00 90.00
Fractional coordinates of all 4 atoms:
Be  0.5000  0.5763  0.7236
Ag  0.0000  0.6739  0.5267
Sr  0.0000  0.9813  0.9120
Sr  0.5000  0.2684  0.3377

# 14
First-principles (PBE-GGA) data for a relaxed FePd3S crystal, as listed in Alexandria.

Calculated values
Crystal system: cubic
Formation energy from raw total energies (eV/atom): 0.926
Energy relative to the lowest polymorph listed for this composition (meV/atom): 663

abc: 4.6092 4.6092 4.6092
angles: 90.00 90.00 90.00
Fractional coordinates of all 5 atoms:
S  0.5000  0.5000  0.5000
Pd  0.5000  0.0000  0.0000
Fe  0.0000  0.0000  0.0000
Pd  0.0000  0.5000  0.0000
Pd  0.0000  0.0000  0.5000

# 15
First-principles (PBE-GGA) data for a relaxed HoPa2Sn crystal, as listed in Alexandria.

Calculated values
Formation energy from the elements (kJ/mol of formula units): -77
Crystal system: tetragonal
Energy relative to the lowest polymorph listed for this composition (meV/atom): 0

abc: 5.1451 4.4424 4.4424
angles: 90.00 90.00 90.00
Fractional coordinates of all 4 atoms:
Pa  0.0000  0.5000  0.0000
Pa  0.0000  0.0000  0.5000
Ho  0.5000  0.0000  0.0000
Sn  0.5000  0.5000  0.5000

# 16
First-principles (PBE-GGA) data for a relaxed SiTe2Cl crystal, as listed in Alexandria.

Calculated values
Crystal system: monoclinic
Formation energy from raw total energies (eV/atom): -0.060
Energy relative to the lowest polymorph listed for this composition (meV/atom): 26

abc: 4.8823 4.8823 8.7779
angles: 97.98 97.98 44.21
Fractional coordinates of all 4 atoms:
Te  0.2734  0.2734  0.1818
Cl  0.5212  0.5212  0.5800
Te  0.0352  0.0352  0.9470
Si  0.6702  0.6702  0.7912

# 17
First-principles (PBE-GGA) data for a relaxed TbMg2Tl crystal, as listed in Alexandria.

Calculated values
Formation energy from the elements (kJ/mol of formula units): -29
Crystal system: tetragonal
Energy relative to the lowest polymorph listed for this composition (meV/atom): 145

abc: 3.8544 3.8544 6.9832
angles: 90.00 90.00 90.00
Fractional coordinates of all 4 atoms:
Mg  0.0000  0.0000  0.7629
Tb  0.5000  0.5000  0.5000
Mg  0.0000  0.0000  0.2371
Tl  0.5000  0.5000  0.0000

# 18
First-principles (PBE-GGA) data for a relaxed Hf2CuHg crystal, as listed in Alexandria.

Calculated values
Formation energy from the elements (kJ/mol of formula units): 0
Crystal system: tetragonal

abc: 4.0834 4.3256 4.3256
angles: 90.00 90.00 90.00
Fractional coordinates of all 4 atoms:
Hg  0.5000  0.5000  0.5000
Hf  0.0000  0.0000  0.5000
Cu  0.5000  0.0000  0.0000
Hf  0.0000  0.5000  0.0000

# 19
First-principles (PBE-GGA) data for a relaxed La2Pr12In crystal, as listed in Alexandria.

Calculated values
Formation energy from the elements (kJ/mol of formula units): 268
Crystal system: tetragonal

abc: 6.8555 6.8555 24.0864
angles: 90.00 90.00 90.00
Fractional coordinates of all 30 atoms:
Pr  0.2536  0.2464  0.0908
Pr  0.5000  0.5000  0.6706
Pr  0.0000  0.0000  0.8003
Pr  0.2464  0.2536  0.9092
Pr  0.0000  0.0000  0.6706
Pr  0.6657  0.8343  0.5652
La  0.0000  0.5000  0.2476
Pr  0.0000  0.0000  0.1997
Pr  0.1657  0.3343  0.4348
Pr  0.3343  0.1657  0.5652
Pr  0.6657  0.1657  0.4348
In  0.0000  0.5000  0.0000
Pr  0.0000  0.0000  0.3294
Pr  0.5000  0.5000  0.1997
Pr  0.1657  0.6657  0.5652
Pr  0.2536  0.7536  0.9092
La  0.5000  0.0000  0.2476
Pr  0.5000  0.5000  0.3294
Pr  0.3343  0.8343  0.4348
Pr  0.5000  0.5000  0.8003
Pr  0.7536  0.2536  0.0908
Pr  0.8343  0.3343  0.5652
In  0.5000  0.0000  0.0000
Pr  0.7536  0.7464  0.9092
Pr  0.2464  0.7464  0.0908
Pr  0.8343  0.6657  0.4348
La  0.0000  0.5000  0.7524
Pr  0.7464  0.2464  0.9092
La  0.5000  0.0000  0.7524
Pr  0.7464  0.7536  0.0908

# 20
First-principles (PBE-GGA) data for a relaxed ScFeIN2 crystal, as listed in Alexandria.

Calculated values
Crystal system: tetragonal
Formation energy from raw total energies (eV/atom): 0.703
Energy relative to the lowest polymorph listed for this composition (meV/atom): 0

abc: 3.8887 3.8887 5.1225
angles: 90.00 90.00 90.00
Fractional coordinates of all 5 atoms:
I  0.0000  0.0000  0.5000
Fe  0.0000  0.0000  0.0000
Sc  0.5000  0.5000  0.5000
N  0.0000  0.5000  0.0000
N  0.5000  0.0000  0.0000